K5Sb (PBE, relaxed); uncorrected formation energy = -180 meV/atom; M_tot = 0.00 μB per formula unit; DOS at the Fermi energy = 0.336 states/eV/atom; energy above the most stable polymorph in this dataset = 0.0 meV per atom; raw total energy = -0.13092 Ry per atom
1.0
2.8789 -8.8544 0.0000
2.8789 8.8544 0.0000
0.0000 0.0000 5.8408
K Sb
5 1
Direct
0.8584 0.1416 0.0000 K
0.1416 0.8584 0.0000 K
0.5000 0.5000 0.0000 K
0.3619 0.6381 0.5000 K
0.6381 0.3619 0.5000 K
0.0000 0.0000 0.5000 Sb

Cs4K3LiI8 (PBE, relaxed); uncorrected formation energy = -1440 meV/atom; M_tot = 0.00 μB per formula unit; DOS at the Fermi energy = 0.000 states/eV/atom; raw total energy = -0.20244 Ry per atom
1.0
10.3588 0.0000 0.0000
0.0000 10.4623 0.0493
-5.1794 -5.1856 7.3895
Cs K Li I
4 3 1 8
Direct
0.5000 0.0000 0.0000 Cs
0.5000 0.0000 0.5000 Cs
0.0000 0.0000 0.0000 Cs
0.0000 0.0000 0.5000 Cs
0.5000 0.5000 0.0000 K
0.5000 0.5000 0.5000 K
0.0000 0.5000 0.5000 K
0.0000 0.5000 0.0000 Li
0.2225 0.7075 0.9852 I
0.2368 0.7208 0.4737 I
0.2587 0.2760 0.5175 I
0.7627 0.7075 0.9852 I
0.2373 0.2925 0.0148 I
0.7413 0.7240 0.4825 I
0.7632 0.2792 0.5263 I
0.7775 0.2925 0.0148 I